# PBE BaEuMgBi, relaxed
data_BaEuMgBi
_space_group_name_H-M_alt 'F -4 3 m'
_space_group_IT_number 216
_space_group_name_Hall 'F -4 2 3'
_cell_length_a 8.364
_cell_length_b 8.364
_cell_length_c 8.364
_cell_angle_alpha 90.00
_cell_angle_beta 90.00
_cell_angle_gamma 90.00
loop_
_atom_site_label
_atom_site_type_symbol
_atom_site_fract_x
_atom_site_fract_y
_atom_site_fract_z
Ba1 Ba 0.000 0.000 0.000
Eu1 Eu 0.000 0.000 0.500
Mg1 Mg 0.250 0.250 0.750
Bi1 Bi 0.250 0.250 0.250
# Energy ... -4.8587 eV/atom
# Total magnetic moment ... 7.67 μB per formula unit